Ac2Zn4Si3Ag (PBE, relaxed); space group = P-4m2, No. 115; calculated density = 7.378 g/cm3; E_tot = -3.608 eV per atom; total magnetic moment = 0.00 μB/f.u.
1.0
4.415 0.000 0.000
0.000 4.415 0.000
0.000 0.000 10.483
Ac Zn Si Ag
2 4 3 1
Direct
0.000 0.500 0.244
0.500 0.000 0.756
0.000 0.000 0.000
0.000 0.500 0.633
0.500 0.000 0.367
0.500 0.500 0.000
0.000 0.500 0.870
0.500 0.000 0.130
0.500 0.500 0.500
0.000 0.000 0.500